Entry 1:
Compound: YLuTe2
Source: the Alexandria database
Functional: PBE
Structure: optimized geometry

Cell: 5.3205 5.3205 5.3205 Å, 60.00 60.00 60.00°
Last column: nearest neighbours and their distance in Å.
Fractional coordinates of all 4 atoms:
Y 0.0000 0.0000 0.0000  8 Te 3.26
Lu 0.5000 0.5000 0.5000  8 Te 3.26
Te 0.2500 0.2500 0.2500  4 Lu 3.26, 4 Y 3.26
Te 0.7500 0.7500 0.7500  4 Y 3.26, 4 Lu 3.26

Properties
uncorrected formation energy: -1.083 eV/atom
space-group type: Fm-3m (225)

---

Entry 2:
Compound: ZrSbPb
Source: the Alexandria database
Functional: PBE
Structure: optimized geometry

Cell: 5.7713 5.7713 3.8159 Å, 109.23 109.23 38.61°
Last column: nearest neighbours and their distance in Å.
Fractional coordinates of all 3 atoms:
Zr 0.0000 0.0000 0.0000  4 Sb 3.01, 5 Pb 3.26-3.27
Sb 0.3689 0.3689 0.3692  4 Zr 3.01, 5 Pb 3.17-3.32
Pb 0.6796 0.6796 0.6798  5 Sb 3.17-3.32, 5 Zr 3.26-3.27

Properties
uncorrected formation energy: -0.308 eV/atom
space-group type: Cm (8)

---

Entry 3:
Compound: CsCePbSe3
Source: the Alexandria database
Functional: PBE
Structure: optimized geometry

Cell: 9.2674 4.4383 12.0258 Å, 90.00 107.84 90.00°
Last column: nearest neighbours and their distance in Å.
Fractional coordinates of all 12 atoms:
Cs 0.2245 0.2500 0.2554  5 Se 3.66-3.80, 1 Pb 4.08
Cs 0.7755 0.7500 0.7446  5 Se 3.66-3.80, 1 Pb 4.08
Ce 0.3556 0.7500 0.8524  6 Se 2.93-3.03
Ce 0.6444 0.2500 0.1476  6 Se 2.93-3.03
Pb 0.1538 0.2500 0.5737  3 Se 2.80-2.84
Pb 0.8462 0.7500 0.4263  3 Se 2.80-2.84
Se 0.1224 0.2500 0.7980  1 Pb 2.80, 2 Ce 3.03
Se 0.3534 0.7500 0.6028  2 Pb 2.84, 1 Ce 2.99
Se 0.4202 0.7500 0.1063  3 Ce 2.93-2.98
Se 0.5798 0.2500 0.8937  3 Ce 2.93-2.98
Se 0.6466 0.2500 0.3972  2 Pb 2.84, 1 Ce 2.99
Se 0.8776 0.7500 0.2020  1 Pb 2.80, 2 Ce 3.03

Properties
uncorrected formation energy: -1.262 eV/atom
space-group type: P2_1/m (11)

---

Entry 4:
Compound: Ac3Mg2Tl
Source: the Alexandria database
Functional: PBE
Structure: optimized geometry

Cell: 4.1180 4.1180 12.3861 Å, 90.00 90.00 90.00°
Last column: nearest neighbours and their distance in Å.
Fractional coordinates of all 6 atoms:
Ac 0.0000 0.0000 0.0000  8 Mg 3.53
Ac 0.0000 0.0000 0.3321  4 Tl 3.58, 4 Mg 3.60
Ac 0.0000 0.0000 0.6679  4 Tl 3.58, 4 Mg 3.60
Mg 0.5000 0.5000 0.1617  8 Ac 3.53-3.60
Mg 0.5000 0.5000 0.8383  8 Ac 3.53-3.60
Tl 0.5000 0.5000 0.5000  8 Ac 3.58

Properties
space-group type: P4/mmm (123)
calculated formation energy: -0.1610 eV per atom

---

Entry 5:
Compound: Pu2FeGe2
Source: the Alexandria database
Functional: PBE
Structure: optimized geometry

Cell: 8.2550 8.2550 5.7726 Å, 90.00 90.00 149.15°
Last column: nearest neighbours and their distance in Å.
Fractional coordinates of all 10 atoms:
Pu 0.0129 0.9871 0.5000  4 Fe 2.91-3.09, 2 Pu 2.92, 6 Ge 2.97-3.05
Pu 0.2144 0.7856 0.6936  6 Ge 2.92-3.05, 1 Fe 3.12
Pu 0.7856 0.2144 0.1936  6 Ge 2.92-3.05, 1 Fe 3.12
Pu 0.9871 0.0129 0.0000  4 Fe 2.91-3.09, 2 Pu 2.92, 6 Ge 2.97-3.05
Fe 0.4093 0.5907 0.7469  3 Ge 2.51-2.67
Fe 0.5907 0.4093 0.2469  3 Ge 2.51-2.67
Ge 0.1647 0.8353 0.1986  2 Fe 2.51
Ge 0.4145 0.5855 0.2845  2 Fe 2.67-2.81, 4 Pu 2.97-2.98
Ge 0.5855 0.4145 0.7845  2 Fe 2.67-2.81, 4 Pu 2.97-2.98
Ge 0.8353 0.1647 0.6986  2 Fe 2.51

Properties
space-group type: Cmc2_1 (36)
calculated formation energy: -0.2423 eV per atom

---

Entry 6:
Compound: HoPuNiPd
Source: the Alexandria database
Functional: PBE
Structure: optimized geometry

Cell: 4.8822 4.8822 4.8822 Å, 60.00 60.00 60.00°
Last column: nearest neighbours and their distance in Å.
Fractional coordinates of all 4 atoms:
Ho 0.0000 0.0000 0.0000  4 Ni 2.99, 4 Pd 2.99
Pu 0.5000 0.5000 0.5000  4 Pd 2.99, 4 Ni 2.99
Ni 0.2500 0.2500 0.2500  4 Pu 2.99, 4 Ho 2.99
Pd 0.7500 0.7500 0.7500  4 Ho 2.99, 4 Pu 2.99

Properties
space-group type: F-43m (216)
calculated formation energy: -0.3699 eV per atom

---

Entry 7:
Compound: Th6InC
Source: the Alexandria database
Functional: PBE
Structure: optimized geometry

Cell: 6.2118 6.2118 6.2118 Å, 100.20 100.20 100.20°
Last column: nearest neighbours and their distance in Å.
Fractional coordinates of all 8 atoms:
Th 0.0757 0.6511 0.7782  1 C 2.52
Th 0.2218 0.9243 0.3489  1 C 2.52
Th 0.3489 0.2218 0.9243  1 C 2.52
Th 0.6511 0.7782 0.0757  1 C 2.52
Th 0.7782 0.0757 0.6511  1 C 2.52
Th 0.9243 0.3489 0.2218  1 C 2.52
In 0.5000 0.5000 0.5000  12 Th 3.56-3.57
C 0.0000 0.0000 0.0000  6 Th 2.52

Properties
space-group type: R-3 (148)
calculated formation energy: -0.1419 eV per atom

---

Entry 8:
Compound: CsKNb3
Source: the Alexandria database
Functional: PBE
Structure: optimized geometry

Cell: 5.1959 5.1959 5.1959 Å, 90.00 90.00 90.00°
Last column: nearest neighbours and their distance in Å.
Fractional coordinates of all 5 atoms:
Cs 0.0000 0.0000 0.0000  12 Nb 3.67
K 0.5000 0.5000 0.5000  6 Nb 2.60
Nb 0.0000 0.5000 0.5000  2 K 2.60
Nb 0.5000 0.0000 0.5000  2 K 2.60
Nb 0.5000 0.5000 0.0000  2 K 2.60

Properties
space-group type: Pm-3m (221)
calculated formation energy: 3.0606 eV per atom